MgTaAlNi: relaxed, PBE.

Summary:
size of the total moment	0.00	μB/f.u.
energy above the lowest structure with this stoichiometry	0	meV per atom

Lattice parameters (Å, degrees): 4.424 4.424 4.424 60.00 60.00 60.00
Atoms (fractional coordinates):
Al (0.000, 0.000, 0.000)
Ni (0.750, 0.750, 0.750)
Mg (0.250, 0.250, 0.250)
Ta (0.500, 0.500, 0.500)

***

BaZn2Si2: relaxed, PBE.

Summary:
VASP energy	-3.356	eV per atom

Lattice parameters (Å, degrees): 6.005 6.005 6.005 135.78 135.78 64.32
Atoms (fractional coordinates):
Ba (0.000, 0.000, 0.000)
Zn (0.750, 0.250, 0.500)
Si (0.380, 0.380, 0.000)
Zn (0.250, 0.750, 0.500)
Si (0.620, 0.620, 0.000)

***

YHoIn4Ni2: relaxed, PBE.

Summary:
size of the total moment	0.00	μB/f.u.
VASP energy	-4.588	eV per atom

Lattice parameters (Å, degrees): 7.421 5.661 5.661 44.89 90.00 90.00
Atoms (fractional coordinates):
In (0.700, 0.857, 0.857)
Y (0.500, 0.568, 0.568)
In (0.800, 0.143, 0.143)
In (0.300, 0.857, 0.857)
Ni (0.000, 0.715, 0.715)
Ho (0.000, 0.432, 0.432)
In (0.200, 0.143, 0.143)
Ni (0.500, 0.284, 0.284)